1.
Density functional theory data (PBE-GGA) for a geometry-optimized SrTiTeO5 structure.

total energy	-220.706	eV/cell

CIF file:
```
data_SrTiTeO5
_cell_length_a 7.5735
_cell_length_b 9.0283
_cell_length_c 7.8450
_cell_angle_alpha 90.00
_cell_angle_beta 116.24
_cell_angle_gamma 90.00
_space_group_name_H-M_alt 'C 1 2/c 1'
_space_group_IT_number 15
_space_group_name_Hall '-C 2yc'
loop_
_atom_site_label
_atom_site_type_symbol
_atom_site_fract_x
_atom_site_fract_y
_atom_site_fract_z
_atom_site_occupancy
Sr1 Sr 0.0000 0.0645 0.2500 1
Ti1 Ti 0.2500 0.2500 0.0000 1
Te1 Te 0.0000 0.4693 0.2500 1
O1 O 0.0000 0.2365 0.7500 1
O2 O 0.0724 0.3153 0.1197 1
O3 O 0.2126 0.0431 0.0580 1
```

---

2.
Density functional theory data (PBE-GGA) for a geometry-optimized SrTiTe2O8 structure.

total energy	-152.057	eV/cell

CIF file:
```
data_SrTiTe2O8
_cell_length_a 6.7439
_cell_length_b 7.2179
_cell_length_c 6.7375
_cell_angle_alpha 90.00
_cell_angle_beta 90.00
_cell_angle_gamma 90.00
_space_group_name_H-M_alt 'C m m m'
_space_group_IT_number 65
_space_group_name_Hall '-C 2 2'
loop_
_atom_site_label
_atom_site_type_symbol
_atom_site_fract_x
_atom_site_fract_y
_atom_site_fract_z
_atom_site_occupancy
Sr1 Sr 0.0000 0.0000 0.0000 1
Ti1 Ti 0.0000 0.0000 0.5000 1
Te1 Te 0.0000 0.5000 0.2601 1
O1 O 0.0000 0.3057 0.5000 1
O2 O 0.0000 0.3349 0.0000 1
O3 O 0.2012 0.0000 0.2944 1
```

---

3.
Density functional theory data (PBE-GGA) for a geometry-optimized SrTi2TeO8 structure.

total energy	-176.140	eV/cell

CIF file:
```
data_SrTi2TeO8
_cell_length_a 7.7895
_cell_length_b 6.2179
_cell_length_c 6.9449
_cell_angle_alpha 90.00
_cell_angle_beta 101.03
_cell_angle_gamma 90.00
_space_group_name_H-M_alt 'C 1 2/m 1'
_space_group_IT_number 12
_space_group_name_Hall '-C 2y'
loop_
_atom_site_label
_atom_site_type_symbol
_atom_site_fract_x
_atom_site_fract_y
_atom_site_fract_z
_atom_site_occupancy
Sr1 Sr 0.0000 0.0000 0.0000 1
Ti1 Ti 0.0666 0.5000 0.2323 1
Te1 Te 0.0000 0.0000 0.5000 1
O1 O 0.0073 0.2182 0.7058 1
O2 O 0.1645 0.5000 0.0211 1
O3 O 0.2498 0.0000 0.5485 1
```

---

4.
Density functional theory data (PBE-GGA) for a geometry-optimized SrTlTeO2 structure.

total energy	-19.154	eV/cell

CIF file:
```
data_SrTlTeO2
_cell_length_a 4.5462
_cell_length_b 4.5462
_cell_length_c 9.6113
_cell_angle_alpha 90.00
_cell_angle_beta 90.00
_cell_angle_gamma 90.00
_space_group_name_H-M_alt 'P 4/m m m'
_space_group_IT_number 123
_space_group_name_Hall '-P 4 2'
loop_
_atom_site_label
_atom_site_type_symbol
_atom_site_fract_x
_atom_site_fract_y
_atom_site_fract_z
_atom_site_occupancy
Sr1 Sr 0.0000 0.0000 0.0000 1
Tl1 Tl 0.0000 0.0000 0.5000 1
Te1 Te 0.5000 0.5000 0.5000 1
O1 O 0.0000 0.5000 0.0000 1
```

---

5.
Density functional theory data (PBE-GGA) for a geometry-optimized SrTmTeO6 structure.

total energy	-116.090	eV/cell

CIF file:
```
data_SrTmTeO6
_cell_length_a 5.6417
_cell_length_b 5.6417
_cell_length_c 10.3268
_cell_angle_alpha 90.00
_cell_angle_beta 90.00
_cell_angle_gamma 120.00
_space_group_name_H-M_alt 'P -3 1 c'
_space_group_IT_number 163
_space_group_name_Hall '-P 3 2c'
loop_
_atom_site_label
_atom_site_type_symbol
_atom_site_fract_x
_atom_site_fract_y
_atom_site_fract_z
_atom_site_occupancy
Sr1 Sr 0.0000 0.0000 0.0000 1
Tm1 Tm 0.3333 0.6667 0.2500 1
Te1 Te 0.3333 0.6667 0.7500 1
O1 O 0.0386 0.3887 0.6445 1
```

---

6.
Density functional theory data (PBE-GGA) for a geometry-optimized SrUTeO6 structure.

total energy	-135.127	eV/cell

CIF file:
```
data_SrUTeO6
_cell_length_a 5.7744
_cell_length_b 5.7744
_cell_length_c 10.4395
_cell_angle_alpha 90.00
_cell_angle_beta 90.00
_cell_angle_gamma 120.00
_space_group_name_H-M_alt 'P -3 1 c'
_space_group_IT_number 163
_space_group_name_Hall '-P 3 2c'
loop_
_atom_site_label
_atom_site_type_symbol
_atom_site_fract_x
_atom_site_fract_y
_atom_site_fract_z
_atom_site_occupancy
Sr1 Sr 0.0000 0.0000 0.0000 1
U1 U 0.3333 0.6667 0.2500 1
Te1 Te 0.3333 0.6667 0.7500 1
O1 O 0.0093 0.3705 0.1444 1
```

---

7.
Density functional theory data (PBE-GGA) for a geometry-optimized SrUTe2O8 structure.

total energy	-168.610	eV/cell

CIF file:
```
data_SrUTe2O8
_cell_length_a 13.2906
_cell_length_b 5.8868
_cell_length_c 5.6676
_cell_angle_alpha 90.00
_cell_angle_beta 110.85
_cell_angle_gamma 90.00
_space_group_name_H-M_alt 'C 1 2/m 1'
_space_group_IT_number 12
_space_group_name_Hall '-C 2y'
loop_
_atom_site_label
_atom_site_type_symbol
_atom_site_fract_x
_atom_site_fract_y
_atom_site_fract_z
_atom_site_occupancy
Sr1 Sr 0.0000 0.0000 0.0000 1
U1 U 0.0000 0.5000 0.5000 1
Te1 Te 0.2062 0.0000 0.7109 1
O1 O 0.0727 0.5000 0.2764 1
O2 O 0.1071 0.2275 0.7475 1
O3 O 0.1711 0.0000 0.3642 1
```

---

8.
Density functional theory data (PBE-GGA) for a geometry-optimized Sr2UTeO8 structure.

total energy	-85.861	eV/cell

CIF file:
```
data_Sr2UTeO8
_cell_length_a 5.3097
_cell_length_b 6.8453
_cell_length_c 5.3126
_cell_angle_alpha 90.00
_cell_angle_beta 92.89
_cell_angle_gamma 90.00
_space_group_name_H-M_alt 'P 1 2/m 1'
_space_group_IT_number 10
_space_group_name_Hall '-P 2y'
loop_
_atom_site_label
_atom_site_type_symbol
_atom_site_fract_x
_atom_site_fract_y
_atom_site_fract_z
_atom_site_occupancy
Sr1 Sr 0.0000 0.2388 0.0000 1
U1 U 0.5000 0.5000 0.5000 1
Te1 Te 0.5000 0.0000 0.5000 1
O1 O 0.2372 0.5000 0.2358 1
O2 O 0.2437 0.0000 0.2426 1
O3 O 0.3318 0.2302 0.6671 1
```

---

9.
Density functional theory data (PBE-GGA) for a geometry-optimized Sr3UTe4O14 structure.

total energy	-576.244	eV/cell

CIF file:
```
data_Sr3UTe4O14
_cell_length_a 21.1239
_cell_length_b 5.7336
_cell_length_c 13.2456
_cell_angle_alpha 90.00
_cell_angle_beta 93.27
_cell_angle_gamma 90.00
_space_group_name_H-M_alt 'C 1 2/c 1'
_space_group_IT_number 15
_space_group_name_Hall '-C 2yc'
loop_
_atom_site_label
_atom_site_type_symbol
_atom_site_fract_x
_atom_site_fract_y
_atom_site_fract_z
_atom_site_occupancy
Sr1 Sr 0.0000 0.2213 0.2500 1
Sr2 Sr 0.0601 0.2670 0.5567 1
U1 U 0.2500 0.2500 0.5000 1
Te1 Te 0.1001 0.2245 0.8702 1
Te2 Te 0.1726 0.2100 0.1599 1
O1 O 0.0399 0.0066 0.9129 1
O2 O 0.0437 0.4804 0.8830 1
O3 O 0.0894 0.1310 0.7328 1
O4 O 0.0916 0.3331 0.1331 1
O5 O 0.1693 0.0235 0.5539 1
O6 O 0.1965 0.3510 0.3927 1
O7 O 0.2167 0.4530 0.0934 1
```

---

> What is the formula in the ninth record?

Sr3UTe4O14

---

> total energy of number 5 (SrTmTeO6)?

-116.090 eV/cell